A geometry-optimized TiRuOF2 structure, computed with PBE.

The structure in POSCAR format:
```
TiRuOF2
1.0
4.073 0.000 0.000
0.000 4.073 0.000
0.000 0.000 3.862
Ti Ru O F
1 1 1 2
Cartesian
0.000 0.000 0.000 Ti
2.036 2.036 1.931 Ru
0.000 0.000 1.931 O
0.000 2.036 0.000 F
2.036 0.000 0.000 F
```

Results
Calculated total energy: -0.4842 Ry per atom
Space-group type: P4/mmm

=====

A geometry-optimized TiRu2OF structure, computed with PBE.

The structure in POSCAR format:
```
TiRu2OF
1.0
4.006 0.000 0.000
0.000 4.006 0.000
0.000 0.000 4.166
Ti Ru O F
1 2 1 1
Cartesian
0.000 0.000 0.000 Ti
0.000 2.003 2.083 Ru
2.003 0.000 2.083 Ru
0.000 0.000 2.083 O
2.003 2.003 0.000 F
```

Results
Calculated total energy: -0.5069 Ry per atom
Space-group type: P4/mmm

=====

Number 1: formation energy from raw total energies -136 kJ/mol of atoms, total moment 2.10 μB/cell. Number 2: formation energy from raw total energies -23 kJ/mol of atoms, total moment 1.00 μB/cell.